## Cd2AsCl (GGA-PBE)

Data for an optimized crystal structure of Cd2AsCl.

Cell lengths 8.030, 7.756, 3.281 Å; angles 90.00, 110.65, 90.00 degrees
Fractional coordinates of all 8 atoms:
Cd 0.250 0.250 0.000
Cd 0.250 0.750 0.000
Cd 0.750 0.250 0.000
Cd 0.750 0.750 0.000
As 0.000 0.000 0.000
As 0.500 0.500 0.000
Cl 0.000 0.500 0.000
Cl 0.500 0.000 0.000

* symmetry: C2/m, No. 12
* E_form (uncorrected): -0.9 eV per formula unit
* relative energy among the computed polymorphs: 0.223 eV/atom
* total moment: 0.00 μB per cell
* uncorrected energy: -9.243 eV per formula unit

## CdAs2Cl (GGA-PBE)

Data for an optimized crystal structure of CdAs2Cl.

Cell lengths 5.071, 12.661, 2.970 Å; angles 90.00, 90.00, 90.00 degrees
Fractional coordinates of all 8 atoms:
Cd 0.000 0.000 0.000
Cd 0.500 0.500 0.000
As 0.250 0.250 0.500
As 0.250 0.750 0.500
As 0.750 0.250 0.500
As 0.750 0.750 0.500
Cl 0.000 0.500 0.000
Cl 0.500 0.000 0.000

* symmetry: Cmmm, No. 65
* E_form (uncorrected): 0.8 eV per formula unit
* relative energy among the computed polymorphs: 0.479 eV/atom
* total moment: 0.00 μB per cell
* uncorrected energy: -11.235 eV per formula unit

## Cd2AsCl (GGA-PBE)

Data for an optimized crystal structure of Cd2AsCl.

Cell lengths 3.987, 5.175, 9.373 Å; angles 90.00, 90.00, 90.00 degrees
Fractional coordinates of all 8 atoms:
Cd 0.000 0.000 0.000
Cd 0.000 0.500 0.248
Cd 0.500 0.000 0.248
Cd 0.500 0.500 0.000
As 0.000 0.500 0.790
As 0.500 0.000 0.790
Cl 0.000 0.000 0.431
Cl 0.500 0.500 0.431

* symmetry: Cmm2, No. 35
* E_form (uncorrected): -0.2 eV per formula unit
* relative energy among the computed polymorphs: 0.409 eV/atom
* total moment: 0.00 μB per cell
* uncorrected energy: -8.498 eV per formula unit

## Cd2AsCl (GGA-PBE)

Data for an optimized crystal structure of Cd2AsCl.

Cell lengths 4.040, 6.423, 7.567 Å; angles 90.00, 90.00, 90.00 degrees
Fractional coordinates of all 8 atoms:
Cd 0.000 0.000 0.245
Cd 0.000 0.000 0.755
Cd 0.500 0.500 0.255
Cd 0.500 0.500 0.745
As 0.000 0.500 0.500
As 0.500 0.000 0.000
Cl 0.000 0.500 0.000
Cl 0.500 0.000 0.500

* symmetry: Immm, No. 71
* E_form (uncorrected): -0.4 eV per formula unit
* relative energy among the computed polymorphs: 0.354 eV/atom
* total moment: 0.00 μB per cell
* uncorrected energy: -8.720 eV per formula unit

## CdAs2Cl (GGA-PBE)

Data for an optimized crystal structure of CdAs2Cl.

Cell lengths 3.786, 3.786, 6.717 Å; angles 90.00, 90.00, 90.00 degrees
Fractional coordinates of all 4 atoms:
Cd 0.000 0.000 0.000
As 0.000 0.500 0.500
As 0.500 0.000 0.500
Cl 0.500 0.500 0.000

* symmetry: P4/mmm, No. 123
* E_form (uncorrected): 0.3 eV per formula unit
* relative energy among the computed polymorphs: 0.339 eV/atom
* total moment: 0.03 μB per cell
* uncorrected energy: -11.796 eV per formula unit

## Cd2AsCl (GGA-PBE)

Data for an optimized crystal structure of Cd2AsCl.

Cell lengths 6.135, 6.135, 13.020 Å; angles 90.00, 90.00, 90.00 degrees
Fractional coordinates of all 16 atoms:
Cd 0.211 0.250 0.125
Cd 0.250 0.711 0.375
Cd 0.250 0.789 0.875
Cd 0.289 0.250 0.625
Cd 0.711 0.750 0.625
Cd 0.750 0.211 0.875
Cd 0.750 0.289 0.375
Cd 0.789 0.750 0.125
As 0.000 0.000 0.000
As 0.000 0.500 0.250
As 0.500 0.000 0.750
As 0.500 0.500 0.500
Cl 0.000 0.000 0.500
Cl 0.000 0.500 0.750
Cl 0.500 0.000 0.250
Cl 0.500 0.500 0.000

* symmetry: I-42d, No. 122
* E_form (uncorrected): -1.8 eV per formula unit
* relative energy among the computed polymorphs: 0.002 eV/atom
* total moment: 0.00 μB per cell
* uncorrected energy: -10.125 eV per formula unit

## CdAs2Cl8 (GGA-PBE)

Data for an optimized crystal structure of CdAs2Cl8.

Cell lengths 3.924, 9.340, 9.967 Å; angles 83.47, 80.00, 88.22 degrees
Fractional coordinates of all 11 atoms:
Cd 0.000 0.000 0.000
As 0.074 0.273 0.336
As 0.926 0.727 0.664
Cl 0.162 0.567 0.800
Cl 0.173 0.930 0.703
Cl 0.270 0.698 0.468
Cl 0.495 0.181 0.945
Cl 0.505 0.819 0.055
Cl 0.730 0.302 0.532
Cl 0.827 0.070 0.297
Cl 0.838 0.433 0.200

* symmetry: P-1, No. 2
* E_form (uncorrected): -8.5 eV per formula unit
* relative energy among the computed polymorphs: 0.000 eV/atom
* total moment: 0.00 μB per cell
* uncorrected energy: -33.524 eV per formula unit

## CdAs2Cl (GGA-PBE)

Data for an optimized crystal structure of CdAs2Cl.

Cell lengths 12.678, 3.689, 4.231 Å; angles 90.00, 97.80, 90.00 degrees
Fractional coordinates of all 8 atoms:
Cd 0.000 0.000 0.000
Cd 0.500 0.500 0.000
As 0.218 0.000 0.153
As 0.282 0.500 0.847
As 0.718 0.500 0.153
As 0.782 0.000 0.847
Cl 0.000 0.500 0.500
Cl 0.500 0.000 0.500

* symmetry: C2/m, No. 12
* E_form (uncorrected): -1.1 eV per formula unit
* relative energy among the computed polymorphs: 0.000 eV/atom
* total moment: 0.00 μB per cell
* uncorrected energy: -13.151 eV per formula unit

## Cd2AsCl (GGA-PBE)

Data for an optimized crystal structure of Cd2AsCl.

Cell lengths 3.473, 3.473, 7.475 Å; angles 90.00, 90.00, 90.00 degrees
Fractional coordinates of all 4 atoms:
Cd 0.000 0.000 0.226
Cd 0.000 0.000 0.774
As 0.500 0.500 0.000
Cl 0.500 0.500 0.500

* symmetry: P4/mmm, No. 123
* E_form (uncorrected): -0.4 eV per formula unit
* relative energy among the computed polymorphs: 0.351 eV/atom
* total moment: 0.00 μB per cell
* uncorrected energy: -8.730 eV per formula unit

## CdAs2Cl (GGA-PBE)

Data for an optimized crystal structure of CdAs2Cl.

Cell lengths 3.735, 5.822, 8.997 Å; angles 90.00, 90.00, 90.00 degrees
Fractional coordinates of all 8 atoms:
Cd 0.000 0.000 0.000
Cd 0.500 0.500 0.000
As 0.000 0.000 0.557
As 0.000 0.500 0.747
As 0.500 0.000 0.747
As 0.500 0.500 0.557
Cl 0.000 0.500 0.197
Cl 0.500 0.000 0.197

* symmetry: Cmm2, No. 35
* E_form (uncorrected): 0.0 eV per formula unit
* relative energy among the computed polymorphs: 0.271 eV/atom
* total moment: 0.00 μB per cell
* uncorrected energy: -12.066 eV per formula unit

## Cd3AsCl (GGA-PBE)

Data for an optimized crystal structure of Cd3AsCl.

Cell lengths 5.403, 5.403, 5.403 Å; angles 90.00, 90.00, 90.00 degrees
Fractional coordinates of all 5 atoms:
Cd 0.000 0.000 0.500
Cd 0.000 0.500 0.000
Cd 0.500 0.000 0.000
As 0.000 0.000 0.000
Cl 0.500 0.500 0.500

* symmetry: Pm-3m, No. 221
* E_form (uncorrected): -0.5 eV per formula unit
* relative energy among the computed polymorphs: 0.079 eV/atom
* total moment: 0.00 μB per cell
* uncorrected energy: -9.720 eV per formula unit

## Cd2AsCl (GGA-PBE)

Data for an optimized crystal structure of Cd2AsCl.

Cell lengths 7.054, 7.054, 7.054 Å; angles 90.00, 90.00, 90.00 degrees
Fractional coordinates of all 16 atoms:
Cd 0.250 0.250 0.250
Cd 0.250 0.250 0.750
Cd 0.250 0.750 0.250
Cd 0.250 0.750 0.750
Cd 0.750 0.250 0.250
Cd 0.750 0.250 0.750
Cd 0.750 0.750 0.250
Cd 0.750 0.750 0.750
As 0.000 0.000 0.000
As 0.000 0.500 0.500
As 0.500 0.000 0.500
As 0.500 0.500 0.000
Cl 0.000 0.000 0.500
Cl 0.000 0.500 0.000
Cl 0.500 0.000 0.000
Cl 0.500 0.500 0.500

* symmetry: Fm-3m, No. 225
* E_form (uncorrected): -0.3 eV per formula unit
* relative energy among the computed polymorphs: 0.381 eV/atom
* total moment: 0.00 μB per cell
* uncorrected energy: -8.610 eV per formula unit

## CrCd2AsCl (GGA-PBE)

Data for an optimized crystal structure of CrCd2AsCl.

Cell lengths 5.377, 5.377, 4.896 Å; angles 90.00, 90.00, 90.00 degrees
Fractional coordinates of all 5 atoms:
Cr 0.000 0.000 0.000
Cd 0.000 0.500 0.500
Cd 0.500 0.000 0.500
As 0.000 0.000 0.500
Cl 0.500 0.500 0.000

* symmetry: P4/mmm, No. 123
* E_form (uncorrected): 0.6 eV per formula unit
* total moment: 4.48 μB per cell
* uncorrected energy: -17.386 eV per formula unit

## CsCdAsCl6 (GGA-PBE)

Data for an optimized crystal structure of CsCdAsCl6.

Cell lengths 6.806, 6.806, 7.791 Å; angles 90.00, 90.00, 120.00 degrees
Fractional coordinates of all 9 atoms:
Cs 0.000 0.000 0.000
Cd 0.333 0.667 0.500
As 0.667 0.333 0.500
Cl 0.384 0.015 0.690
Cl 0.384 0.369 0.310
Cl 0.631 0.015 0.310
Cl 0.631 0.616 0.690
Cl 0.985 0.369 0.690
Cl 0.985 0.616 0.310

* symmetry: P312, No. 149
* E_form (uncorrected): -10.1 eV per formula unit
* total moment: 0.00 μB per cell
* uncorrected energy: -27.593 eV per formula unit

## CdAsCl2F (GGA-PBE)

Data for an optimized crystal structure of CdAsCl2F.

Cell lengths 5.588, 5.588, 3.950 Å; angles 90.00, 90.00, 90.00 degrees
Fractional coordinates of all 5 atoms:
Cd 0.000 0.000 0.000
As 0.500 0.500 0.000
Cl 0.000 0.500 0.500
Cl 0.500 0.000 0.500
F 0.000 0.000 0.500

* symmetry: P4/mmm, No. 123
* E_form (uncorrected): -0.7 eV per formula unit
* total moment: 1.87 μB per cell
* uncorrected energy: -11.846 eV per formula unit

## Cd2Hg13As8Cl12 (GGA-PBE)

Data for an optimized crystal structure of Cd2Hg13As8Cl12.

Cell lengths 12.473, 12.473, 12.474 Å; angles 90.00, 90.00, 90.00 degrees
Fractional coordinates of all 70 atoms:
Cd 0.000 0.000 0.000
Cd 0.000 0.500 0.500
Cd 0.500 0.000 0.500
Cd 0.500 0.500 0.000
Hg 0.000 0.000 0.500
Hg 0.000 0.500 0.000
Hg 0.028 0.206 0.278
Hg 0.028 0.294 0.778
Hg 0.208 0.722 0.972
Hg 0.208 0.778 0.472
Hg 0.223 0.028 0.708
Hg 0.223 0.472 0.208
Hg 0.278 0.528 0.706
Hg 0.278 0.972 0.206
Hg 0.294 0.223 0.972
Hg 0.294 0.277 0.472
Hg 0.473 0.708 0.277
Hg 0.473 0.792 0.777
Hg 0.527 0.208 0.223
Hg 0.527 0.292 0.723
Hg 0.706 0.723 0.528
Hg 0.706 0.777 0.028
Hg 0.722 0.028 0.794
Hg 0.722 0.472 0.294
Hg 0.777 0.528 0.792
Hg 0.777 0.972 0.292
Hg 0.792 0.222 0.528
Hg 0.792 0.278 0.028
Hg 0.972 0.706 0.222
Hg 0.972 0.794 0.722
As 0.167 0.667 0.167
As 0.167 0.833 0.667
As 0.220 0.221 0.780
As 0.220 0.279 0.280
As 0.280 0.720 0.780
As 0.280 0.780 0.280
As 0.334 0.167 0.167
As 0.334 0.333 0.667
As 0.666 0.667 0.333
As 0.666 0.833 0.833
As 0.720 0.220 0.720
As 0.720 0.280 0.220
As 0.780 0.721 0.720
As 0.780 0.779 0.220
As 0.833 0.167 0.333
As 0.833 0.333 0.833
Cl 0.033 0.208 0.041
Cl 0.033 0.292 0.541
Cl 0.040 0.535 0.708
Cl 0.040 0.965 0.208
Cl 0.212 0.540 0.467
Cl 0.212 0.960 0.967
Cl 0.293 0.040 0.467
Cl 0.293 0.460 0.967
Cl 0.460 0.032 0.711
Cl 0.460 0.468 0.211
Cl 0.467 0.711 0.039
Cl 0.467 0.789 0.539
Cl 0.533 0.211 0.461
Cl 0.533 0.289 0.961
Cl 0.540 0.532 0.789
Cl 0.540 0.968 0.289
Cl 0.707 0.540 0.033
Cl 0.707 0.960 0.533
Cl 0.788 0.040 0.033
Cl 0.788 0.460 0.533
Cl 0.960 0.035 0.792
Cl 0.960 0.465 0.292
Cl 0.967 0.708 0.459
Cl 0.967 0.792 0.959

* symmetry: P2_1/c, No. 14
* E_form (uncorrected): -15.9 eV per formula unit
* total moment: 0.00 μB per cell
* uncorrected energy: -81.040 eV per formula unit

## Cd4AsI2Cl (GGA-PBE)

Data for an optimized crystal structure of Cd4AsI2Cl.

Cell lengths 7.993, 8.998, 7.737 Å; angles 90.00, 90.00, 90.00 degrees
Fractional coordinates of all 16 atoms:
Cd 0.000 0.068 0.000
Cd 0.000 0.821 0.601
Cd 0.177 0.315 0.491
Cd 0.323 0.685 0.991
Cd 0.500 0.179 0.101
Cd 0.500 0.932 0.500
Cd 0.677 0.685 0.991
Cd 0.823 0.315 0.491
As 0.000 0.785 0.932
As 0.500 0.215 0.432
I 0.229 0.323 0.922
I 0.271 0.677 0.422
I 0.729 0.677 0.422
I 0.771 0.323 0.922
Cl 0.000 0.030 0.359
Cl 0.500 0.970 0.859

* symmetry: Pmn2_1, No. 31
* E_form (uncorrected): -2.8 eV per formula unit
* total moment: 0.00 μB per cell
* uncorrected energy: -16.039 eV per formula unit

## CdAsI2Cl (GGA-PBE)

Data for an optimized crystal structure of CdAsI2Cl.

Cell lengths 6.371, 6.371, 4.867 Å; angles 90.00, 90.00, 90.00 degrees
Fractional coordinates of all 5 atoms:
Cd 0.000 0.000 0.000
As 0.500 0.500 0.000
I 0.000 0.500 0.500
I 0.500 0.000 0.500
Cl 0.500 0.500 0.500

* symmetry: P4/mmm, No. 123
* E_form (uncorrected): 3.0 eV per formula unit
* total moment: 2.57 μB per cell
* uncorrected energy: -7.546 eV per formula unit

## KCdInAsCl (GGA-PBE)

Data for an optimized crystal structure of KCdInAsCl.

Cell lengths 12.238, 4.597, 5.638 Å; angles 90.00, 117.41, 90.00 degrees
Fractional coordinates of all 10 atoms:
K 0.000 0.000 0.000
K 0.500 0.500 0.000
Cd 0.133 0.500 0.631
Cd 0.633 0.000 0.631
In 0.365 0.000 0.363
In 0.865 0.500 0.363
As 0.224 0.500 0.222
As 0.724 0.000 0.222
Cl 0.311 0.000 0.809
Cl 0.811 0.500 0.809

* symmetry: Cm, No. 8
* E_form (uncorrected): -2.9 eV per formula unit
* relative energy among the computed polymorphs: 0.072 eV/atom
* total moment: 0.00 μB per cell
* uncorrected energy: -14.160 eV per formula unit

## KCdInAsCl (GGA-PBE)

Data for an optimized crystal structure of KCdInAsCl.

Cell lengths 5.919, 4.292, 6.818 Å; angles 90.00, 106.69, 90.00 degrees
Fractional coordinates of all 5 atoms:
K 0.000 0.000 0.000
Cd 0.660 0.500 0.450
In 0.253 0.500 0.580
As 0.955 0.000 0.484
Cl 0.399 0.500 0.003

* symmetry: Pm, No. 6
* E_form (uncorrected): -3.1 eV per formula unit
* relative energy among the computed polymorphs: 0.034 eV/atom
* total moment: 0.00 μB per cell
* uncorrected energy: -14.350 eV per formula unit